Entry 1:
# MnBe17Mo (PBE, optimized geometry)
# Calculated formation energy, kJ/mol of formula units: -227
# Energy, eV/cell: -257.10
data_MnBe17Mo
_cell_length_a 7.2445
_cell_length_b 7.2445
_cell_length_c 10.5754
_cell_angle_alpha 90.00
_cell_angle_beta 90.00
_cell_angle_gamma 120.00
_space_group_name_H-M_alt 'R 3 m'
_space_group_IT_number 160
_space_group_name_Hall 'R 3 -2"'
loop_
_atom_site_label
_atom_site_fract_x
_atom_site_fract_y
_atom_site_fract_z
Mn1 0.0000 0.0000 0.0000
Be1 0.0000 0.0000 0.2379
Be2 0.0000 0.0000 0.4409
Be3 0.0038 0.5019 0.4939
Be4 0.0332 0.3632 0.0075
Be5 0.1692 0.3385 0.1767
Be6 0.1714 0.3428 0.5192
Mo1 0.0000 0.0000 0.6806


Entry 2:
# KLiNpS3 (PBE, optimized geometry)
# Energy, eV/cell: -72.92
data_KLiNpS3
_cell_length_a 8.751
_cell_length_b 4.065
_cell_length_c 9.045
_cell_angle_alpha 90.00
_cell_angle_beta 106.60
_cell_angle_gamma 90.00
_space_group_name_H-M_alt 'P 1 21/m 1'
_space_group_IT_number 11
loop_
_space_group_symop_operation_xyz
'x,y,z'
'-x,-y,-z'
'-x,y+1/2,-z'
'x,-y+1/2,z'
loop_
_atom_site_label
_atom_site_fract_x
_atom_site_fract_y
_atom_site_fract_z
K1 0.208 0.250 0.252
Li1 0.079 0.250 0.594
Np1 0.323 0.750 0.845
S1 0.131 0.250 0.870
S2 0.204 0.750 0.544
S3 0.468 0.750 0.154


Entry 3:
# ThHRh (PBE, optimized geometry)
# Energy relative to the lowest polymorph listed for this composition, eV/atom: 0.224
# Energy, eV/cell: -19.46
data_ThHRh
_cell_length_a 4.0053
_cell_length_b 4.0053
_cell_length_c 3.6200
_cell_angle_alpha 90.00
_cell_angle_beta 90.00
_cell_angle_gamma 120.00
_space_group_name_H-M_alt 'P -6 m 2'
_space_group_IT_number 187
_space_group_name_Hall 'P -6 2'
loop_
_atom_site_label
_atom_site_fract_x
_atom_site_fract_y
_atom_site_fract_z
Th1 0.0000 0.0000 0.0000
H1 0.6667 0.3333 0.5000
Rh1 0.3333 0.6667 0.5000


Entry 4:
# Ta4CoAu (PBE, optimized geometry)
# Calculated formation energy, kJ/mol of formula units: 313
# Energy, eV/cell: -218.20
data_Ta4CoAu
_cell_length_a 7.579
_cell_length_b 7.579
_cell_length_c 7.579
_cell_angle_alpha 90.00
_cell_angle_beta 90.00
_cell_angle_gamma 90.00
_space_group_name_H-M_alt 'F -4 3 m'
_space_group_IT_number 216
_space_group_name_Hall 'F -4 2 3'
loop_
_atom_site_label
_atom_site_fract_x
_atom_site_fract_y
_atom_site_fract_z
Ta1 0.124 0.124 0.376
Co1 0.250 0.250 0.750
Au1 0.000 0.000 0.000


Entry 5:
# TaPb2Au (PBE, optimized geometry)
# Energy relative to the lowest polymorph listed for this composition, eV/atom: 0.272
# Calculated formation energy, kJ/mol of formula units: 166
# Energy, eV/cell: -41.65
data_TaPb2Au
_cell_length_a 7.352
_cell_length_b 7.677
_cell_length_c 3.188
_cell_angle_alpha 90.00
_cell_angle_beta 90.00
_cell_angle_gamma 90.00
_space_group_name_H-M_alt 'C m m m'
_space_group_IT_number 65
_space_group_name_Hall '-C 2 2'
loop_
_atom_site_label
_atom_site_fract_x
_atom_site_fract_y
_atom_site_fract_z
Ta1 0.000 0.000 0.000
Pb1 0.250 0.250 0.500
Au1 0.000 0.500 0.000


Entry 6:
# Pm3CuRh8 (PBE, optimized geometry)
# Calculated formation energy, kJ/mol of formula units: -536
# Energy, eV/cell: -248.16
data_Pm3CuRh8
_cell_length_a 5.3426
_cell_length_b 5.3426
_cell_length_c 26.2086
_cell_angle_alpha 90.00
_cell_angle_beta 90.00
_cell_angle_gamma 120.00
_space_group_name_H-M_alt 'R 3 m'
_space_group_IT_number 160
_space_group_name_Hall 'R 3 -2"'
loop_
_atom_site_label
_atom_site_fract_x
_atom_site_fract_y
_atom_site_fract_z
Pm1 0.0000 0.0000 0.0000
Pm2 0.0000 0.0000 0.1303
Pm3 0.0000 0.0000 0.5168
Cu1 0.0000 0.0000 0.6441
Rh1 0.0000 0.0000 0.3178
Rh2 0.0000 0.0000 0.8181
Rh3 0.9997 0.4999 0.0672
Rh4 0.1670 0.3341 0.9026


Entry 7:
# Ca2Re (PBE, optimized geometry)
# Energy relative to the lowest polymorph listed for this composition, eV/atom: 0.498
# Calculated formation energy, kJ/mol of formula units: 259
# Energy, eV/cell: -27.54
data_Ca2Re
_cell_length_a 7.506
_cell_length_b 7.664
_cell_length_c 2.926
_cell_angle_alpha 90.00
_cell_angle_beta 90.00
_cell_angle_gamma 90.00
_space_group_name_H-M_alt 'P n n m'
_space_group_IT_number 58
loop_
_space_group_symop_operation_xyz
'x,y,z'
'-x,-y,-z'
'-x,-y,z'
'x,y,-z'
'x+1/2,-y+1/2,-z+1/2'
'-x+1/2,y+1/2,z+1/2'
'-x+1/2,y+1/2,-z+1/2'
'x+1/2,-y+1/2,z+1/2'
loop_
_atom_site_label
_atom_site_fract_x
_atom_site_fract_y
_atom_site_fract_z
Ca1 0.212 0.188 0.000
Re1 0.000 0.500 0.000


Entry 8:
# La2NdAg (PBE, optimized geometry)
# Energy relative to the lowest polymorph listed for this composition, eV/atom: 0.000
# Calculated formation energy, kJ/mol of formula units: -43
# Energy, eV/cell: -17.91
data_La2NdAg
_cell_length_a 3.807
_cell_length_b 3.807
_cell_length_c 8.857
_cell_angle_alpha 90.00
_cell_angle_beta 90.00
_cell_angle_gamma 90.00
_space_group_name_H-M_alt 'P 4/m m m'
_space_group_IT_number 123
_space_group_name_Hall '-P 4 2'
loop_
_atom_site_label
_atom_site_fract_x
_atom_site_fract_y
_atom_site_fract_z
La1 0.000 0.000 0.216
Nd1 0.500 0.500 0.500
Ag1 0.500 0.500 0.000


For reference, mass density by record: 3.15 4.08 11.09 14.95 14.62 10.16 5.26 6.85 g cm⁻³.